## a
# Ba2CrRu2, optimized geometry, DFT PBE
# theoretical density	7.6	g cm⁻³
# crystal system	tetragonal
data_Ba2CrRu2
_cell_length_a 6.416
_cell_length_b 6.416
_cell_length_c 5.582
_cell_angle_alpha 90.00
_cell_angle_beta 90.00
_cell_angle_gamma 90.00
_symmetry_space_group_name_H-M 'P 4/m b m'
_symmetry_Int_Tables_number 127
_symmetry_space_group_name_Hall '-P 4 2ab'
loop_
_atom_site_label
_atom_site_type_symbol
_atom_site_fract_x
_atom_site_fract_y
_atom_site_fract_z
_atom_site_occupancy
Ba1 Ba 0.182 0.318 0.000 1
Cr1 Cr 0.000 0.000 0.500 1
Ru1 Ru 0.138 0.638 0.500 1

---

## b
# Ba2CrRu2, optimized geometry, DFT PBE
# theoretical density	6.2	g cm⁻³
# crystal system	tetragonal
data_Ba2CrRu2
_cell_length_a 6.332
_cell_length_b 6.332
_cell_length_c 7.065
_cell_angle_alpha 90.00
_cell_angle_beta 90.00
_cell_angle_gamma 90.00
_symmetry_space_group_name_H-M 'I 4/m m m'
_symmetry_Int_Tables_number 139
_symmetry_space_group_name_Hall '-I 4 2'
loop_
_atom_site_label
_atom_site_type_symbol
_atom_site_fract_x
_atom_site_fract_y
_atom_site_fract_z
_atom_site_occupancy
Ba1 Ba 0.000 0.500 0.250 1
Cr1 Cr 0.000 0.000 0.000 1
Ru1 Ru 0.000 0.000 0.310 1

---

Which one is most stable, and which one is least stable? a is the most stable of them, while b is the least stable.

---

## a
# BaCr3Ru, optimized geometry, DFT PBE
# theoretical density	5.8	g cm⁻³
# crystal system	cubic
data_BaCr3Ru
_cell_length_a 4.827
_cell_length_b 4.827
_cell_length_c 4.827
_cell_angle_alpha 90.00
_cell_angle_beta 90.00
_cell_angle_gamma 90.00
_symmetry_space_group_name_H-M 'P m -3 m'
_symmetry_Int_Tables_number 221
_symmetry_space_group_name_Hall '-P 4 2 3'
loop_
_atom_site_label
_atom_site_type_symbol
_atom_site_fract_x
_atom_site_fract_y
_atom_site_fract_z
_atom_site_occupancy
Ba1 Ba 0.000 0.000 0.000 1
Cr1 Cr 0.000 0.000 0.500 1
Ru1 Ru 0.500 0.500 0.500 1

---

## b
# BaCr3Ru, optimized geometry, DFT PBE
# theoretical density	5.6	g cm⁻³
# crystal system	cubic
data_BaCr3Ru
_cell_length_a 4.890
_cell_length_b 4.890
_cell_length_c 4.890
_cell_angle_alpha 90.00
_cell_angle_beta 90.00
_cell_angle_gamma 90.00
_symmetry_space_group_name_H-M 'P m -3 m'
_symmetry_Int_Tables_number 221
_symmetry_space_group_name_Hall '-P 4 2 3'
loop_
_atom_site_label
_atom_site_type_symbol
_atom_site_fract_x
_atom_site_fract_y
_atom_site_fract_z
_atom_site_occupancy
Ba1 Ba 0.000 0.000 0.000 1
Cr1 Cr 0.000 0.500 0.500 1
Ru1 Ru 0.500 0.500 0.500 1

---

Which one is most stable, and which one is least stable? b is the most stable of them, while a is the least stable.

---

## a
# BaCrS2, optimized geometry, DFT PBE
# theoretical density	5.1	g cm⁻³
# crystal system	cubic
data_BaCrS2
_cell_length_a 6.911
_cell_length_b 6.911
_cell_length_c 6.911
_cell_angle_alpha 90.00
_cell_angle_beta 90.00
_cell_angle_gamma 90.00
_symmetry_space_group_name_H-M 'F m -3 m'
_symmetry_Int_Tables_number 225
_symmetry_space_group_name_Hall '-F 4 2 3'
loop_
_atom_site_label
_atom_site_type_symbol
_atom_site_fract_x
_atom_site_fract_y
_atom_site_fract_z
_atom_site_occupancy
Ba1 Ba 0.000 0.000 0.000 1
Cr1 Cr 0.000 0.000 0.500 1
S1 S 0.250 0.250 0.250 1

---

## b
# BaCrS2, optimized geometry, DFT PBE
# theoretical density	2.9	g cm⁻³
# crystal system	trigonal
data_BaCrS2
_cell_length_a 4.7590
_cell_length_b 4.7590
_cell_length_c 22.5701
_cell_angle_alpha 90.00
_cell_angle_beta 90.00
_cell_angle_gamma 120.00
_symmetry_space_group_name_H-M 'R -3 m'
_symmetry_Int_Tables_number 166
_symmetry_space_group_name_Hall '-R 3 2"'
loop_
_atom_site_label
_atom_site_type_symbol
_atom_site_fract_x
_atom_site_fract_y
_atom_site_fract_z
_atom_site_occupancy
Ba1 Ba 0.0000 0.0000 0.0000 1
Cr1 Cr 0.0000 0.0000 0.5000 1
S1 S 0.0000 0.0000 0.4017 1

---

## c
# BaCrS2, optimized geometry, DFT PBE
# theoretical density	4.1	g cm⁻³
# crystal system	tetragonal
data_BaCrS2
_cell_length_a 5.934
_cell_length_b 5.934
_cell_length_c 11.745
_cell_angle_alpha 90.00
_cell_angle_beta 90.00
_cell_angle_gamma 90.00
_symmetry_space_group_name_H-M 'I -4 2 d'
_symmetry_Int_Tables_number 122
_symmetry_space_group_name_Hall 'I -4 2bw'
loop_
_atom_site_label
_atom_site_type_symbol
_atom_site_fract_x
_atom_site_fract_y
_atom_site_fract_z
_atom_site_occupancy
Ba1 Ba 0.000 0.000 0.000 1
Cr1 Cr 0.000 0.000 0.500 1
S1 S 0.114 0.250 0.625 1

---

Which one is most stable, and which one is least stable? c is the most stable of them, while a is the least stable.

---

## a
# BaCrSbTe2, optimized geometry, DFT PBE
# theoretical density	3.5	g cm⁻³
# crystal system	tetragonal
data_BaCrSbTe2
_cell_length_a 6.452
_cell_length_b 6.452
_cell_length_c 6.388
_cell_angle_alpha 90.00
_cell_angle_beta 90.00
_cell_angle_gamma 90.00
_symmetry_space_group_name_H-M 'P 4/m m m'
_symmetry_Int_Tables_number 123
_symmetry_space_group_name_Hall '-P 4 2'
loop_
_atom_site_label
_atom_site_type_symbol
_atom_site_fract_x
_atom_site_fract_y
_atom_site_fract_z
_atom_site_occupancy
Ba1 Ba 0.000 0.000 0.000 1
Cr1 Cr 0.500 0.500 0.500 1
Sb1 Sb 0.000 0.000 0.500 1
Te1 Te 0.000 0.500 0.000 1

---

## b
# BaCrSbTe2, optimized geometry, DFT PBE
# theoretical density	5.9	g cm⁻³
# crystal system	tetragonal
data_BaCrSbTe2
_cell_length_a 5.574
_cell_length_b 5.574
_cell_length_c 5.096
_cell_angle_alpha 90.00
_cell_angle_beta 90.00
_cell_angle_gamma 90.00
_symmetry_space_group_name_H-M 'P 4/m m m'
_symmetry_Int_Tables_number 123
_symmetry_space_group_name_Hall '-P 4 2'
loop_
_atom_site_label
_atom_site_type_symbol
_atom_site_fract_x
_atom_site_fract_y
_atom_site_fract_z
_atom_site_occupancy
Ba1 Ba 0.000 0.000 0.000 1
Cr1 Cr 0.500 0.500 0.500 1
Sb1 Sb 0.500 0.500 0.000 1
Te1 Te 0.000 0.500 0.500 1

---

Which one is most stable, and which one is least stable? b is the most stable of them, while a is the least stable.

---

## a
# BaSc2Cr, optimized geometry, DFT PBE
# theoretical density	4.3	g cm⁻³
# crystal system	orthorhombic
data_BaSc2Cr
_cell_length_a 3.672
_cell_length_b 5.321
_cell_length_c 11.110
_cell_angle_alpha 90.00
_cell_angle_beta 90.00
_cell_angle_gamma 90.00
_symmetry_space_group_name_H-M 'I m m 2'
_symmetry_Int_Tables_number 44
loop_
_symmetry_equiv_pos_as_xyz
'x,y,z'
'-x,-y,z'
'-x,y,z'
'x,-y,z'
'x+1/2,y+1/2,z+1/2'
'-x+1/2,-y+1/2,z+1/2'
'-x+1/2,y+1/2,z+1/2'
'x+1/2,-y+1/2,z+1/2'
loop_
_atom_site_label
_atom_site_type_symbol
_atom_site_fract_x
_atom_site_fract_y
_atom_site_fract_z
_atom_site_occupancy
Ba1 Ba 0.000 0.000 0.000 1
Sc1 Sc 0.000 0.000 0.421 1
Sc2 Sc 0.000 0.500 0.211 1
Cr1 Cr 0.000 0.500 0.736 1

---

## b
# BaSc2Cr, optimized geometry, DFT PBE
# theoretical density	4.2	g cm⁻³
# crystal system	orthorhombic
data_BaSc2Cr
_cell_length_a 3.777
_cell_length_b 5.375
_cell_length_c 5.430
_cell_angle_alpha 90.00
_cell_angle_beta 90.00
_cell_angle_gamma 90.00
_symmetry_space_group_name_H-M 'P m m m'
_symmetry_Int_Tables_number 47
loop_
_symmetry_equiv_pos_as_xyz
'x,y,z'
'-x,-y,-z'
'-x,-y,z'
'x,y,-z'
'x,-y,-z'
'-x,y,z'
'-x,y,-z'
'x,-y,z'
loop_
_atom_site_label
_atom_site_type_symbol
_atom_site_fract_x
_atom_site_fract_y
_atom_site_fract_z
_atom_site_occupancy
Ba1 Ba 0.000 0.000 0.000 1
Sc1 Sc 0.000 0.500 0.500 1
Sc2 Sc 0.500 0.000 0.500 1
Cr1 Cr 0.500 0.500 0.000 1

---

## c
# BaSc2Cr, optimized geometry, DFT PBE
# theoretical density	4.2	g cm⁻³
# crystal system	orthorhombic
data_BaSc2Cr
_cell_length_a 3.584
_cell_length_b 5.637
_cell_length_c 11.006
_cell_angle_alpha 90.00
_cell_angle_beta 90.00
_cell_angle_gamma 90.00
_symmetry_space_group_name_H-M 'I m m m'
_symmetry_Int_Tables_number 71
_symmetry_space_group_name_Hall '-I 2 2'
loop_
_atom_site_label
_atom_site_type_symbol
_atom_site_fract_x
_atom_site_fract_y
_atom_site_fract_z
_atom_site_occupancy
Ba1 Ba 0.000 0.000 0.000 1
Sc1 Sc 0.000 0.500 0.209 1
Cr1 Cr 0.000 0.000 0.500 1

---

Which one is most stable, and which one is least stable? c is the most stable of them, while b is the least stable.

---

## a
# BaSc2Cr, optimized geometry, DFT PBE
# theoretical density	4.3	g cm⁻³
# crystal system	trigonal
data_BaSc2Cr
_cell_length_a 3.4456
_cell_length_b 3.4456
_cell_length_c 31.4850
_cell_angle_alpha 90.00
_cell_angle_beta 90.00
_cell_angle_gamma 120.00
_symmetry_space_group_name_H-M 'R -3 m'
_symmetry_Int_Tables_number 166
_symmetry_space_group_name_Hall '-R 3 2"'
loop_
_atom_site_label
_atom_site_type_symbol
_atom_site_fract_x
_atom_site_fract_y
_atom_site_fract_z
_atom_site_occupancy
Ba1 Ba 0.0000 0.0000 0.0000 1
Sc1 Sc 0.0000 0.0000 0.2306 1
Cr1 Cr 0.0000 0.0000 0.5000 1

---

## b
# BaSc2Cr, optimized geometry, DFT PBE
# theoretical density	4.0	g cm⁻³
# crystal system	monoclinic
data_BaSc2Cr
_cell_length_a 8.388
_cell_length_b 3.323
_cell_length_c 8.280
_cell_angle_alpha 90.00
_cell_angle_beta 94.55
_cell_angle_gamma 90.00
_symmetry_space_group_name_H-M 'C 1 2/m 1'
_symmetry_Int_Tables_number 12
loop_
_symmetry_equiv_pos_as_xyz
'x,y,z'
'-x,-y,-z'
'-x,y,-z'
'x,-y,z'
'x+1/2,y+1/2,z'
'-x+1/2,-y+1/2,-z'
'-x+1/2,y+1/2,-z'
'x+1/2,-y+1/2,z'
loop_
_atom_site_label
_atom_site_type_symbol
_atom_site_fract_x
_atom_site_fract_y
_atom_site_fract_z
_atom_site_occupancy
Ba1 Ba 0.000 0.000 0.000 1
Sc1 Sc 0.230 0.000 0.659 1
Cr1 Cr 0.000 0.500 0.500 1

---

## c
# BaSc2Cr, optimized geometry, DFT PBE
# theoretical density	4.2	g cm⁻³
# crystal system	monoclinic
data_BaSc2Cr
_cell_length_a 6.593
_cell_length_b 11.380
_cell_length_c 3.311
_cell_angle_alpha 90.00
_cell_angle_beta 116.59
_cell_angle_gamma 90.00
_symmetry_space_group_name_H-M 'C 1 2/m 1'
_symmetry_Int_Tables_number 12
loop_
_symmetry_equiv_pos_as_xyz
'x,y,z'
'-x,-y,-z'
'-x,y,-z'
'x,-y,z'
'x+1/2,y+1/2,z'
'-x+1/2,-y+1/2,-z'
'-x+1/2,y+1/2,-z'
'x+1/2,-y+1/2,z'
loop_
_atom_site_label
_atom_site_type_symbol
_atom_site_fract_x
_atom_site_fract_y
_atom_site_fract_z
_atom_site_occupancy
Ba1 Ba 0.000 0.000 0.000 1
Sc1 Sc 0.250 0.250 0.500 1
Cr1 Cr 0.000 0.500 0.000 1

---

## d
# BaSc2Cr, optimized geometry, DFT PBE
# theoretical density	4.0	g cm⁻³
# crystal system	tetragonal
data_BaSc2Cr
_cell_length_a 3.740
_cell_length_b 3.740
_cell_length_c 8.308
_cell_angle_alpha 90.00
_cell_angle_beta 90.00
_cell_angle_gamma 90.00
_symmetry_space_group_name_H-M 'P 4 m m'
_symmetry_Int_Tables_number 99
loop_
_symmetry_equiv_pos_as_xyz
'x,y,z'
'-y,x,z'
'-x,-y,z'
'y,-x,z'
'-x,y,z'
'y,x,z'
'x,-y,z'
'-y,-x,z'
loop_
_atom_site_label
_atom_site_type_symbol
_atom_site_fract_x
_atom_site_fract_y
_atom_site_fract_z
_atom_site_occupancy
Ba1 Ba 0.000 0.000 0.000 1
Sc1 Sc 0.000 0.000 0.433 1
Sc2 Sc 0.500 0.500 0.650 1
Cr1 Cr 0.500 0.500 0.299 1

---

Which one is most stable, and which one is least stable? d is the most stable of them, while c is the least stable.